LiRhPb2: optimized geometry, GGA-PBE.

- DOS at the Fermi energy: 2.11 states/eV per cell
- SG: Imm2, No. 44
- Magnetization: 0.00 μB per cell
- Energy relative to the elements: -0.0693 eV/atom

Geometry as POSCAR:
```
LiRhPb2
1.0
-1.6303 2.2809 5.8581
1.6303 -2.2809 5.8581
1.6303 2.2809 -5.8581
Li Rh Pb
1 1 2
direct
0.0000 0.0000 0.0000
0.8073 0.3073 0.5000
0.3198 0.8198 0.5000
0.5976 0.5976 0.0000
```

LiRh2Pb: optimized geometry, GGA-PBE.

- DOS at the Fermi energy: 2.58 states/eV per cell
- SG: P2/m, No. 10
- Magnetization: 0.00 μB per cell
- Energy relative to the elements: -0.0060 eV/atom

Geometry as POSCAR:
```
LiRh2Pb
1.0
2.9761 0.0000 0.0000
0.0000 4.0954 0.0000
-1.4193 0.0000 5.2705
Li Rh Pb
1 2 1
direct
0.0000 0.0000 0.0000
0.3835 0.5000 0.2249
0.6165 0.5000 0.7751
0.0000 0.0000 0.5000
```

LiRhPb2: optimized geometry, GGA-PBE.

- DOS at the Fermi energy: 4.26 states/eV per cell
- SG: P2_1/m, No. 11
- Magnetization: 0.00 μB per cell
- Energy relative to the elements: -0.1250 eV/atom

Geometry as POSCAR:
```
LiRhPb2
1.0
3.4143 0.0000 0.0000
0.0000 8.6533 0.0000
-0.0106 0.0000 5.9236
Li Rh Pb
2 2 4
direct
0.2490 0.2500 0.1662
0.7510 0.7500 0.8338
0.2499 0.7500 0.4758
0.7501 0.2500 0.5242
0.2507 0.0323 0.7372
0.2507 0.4677 0.7372
0.7493 0.5323 0.2628
0.7493 0.9677 0.2628
```

LiRhPb: optimized geometry, GGA-PBE.

- DOS at the Fermi energy: 1.53 states/eV per cell
- SG: P2/m, No. 10
- Magnetization: 0.00 μB per cell
- Energy relative to the elements: -0.1122 eV/atom

Geometry as POSCAR:
```
LiRhPb
1.0
4.4953 0.0000 0.0000
0.0000 3.0626 0.0000
-0.0064 0.0000 4.5385
Li Rh Pb
1 1 1
direct
0.0000 0.0000 0.0000
0.5000 0.5000 0.0000
0.5000 0.0000 0.5000
```

Which value of energy relative to the elements does entry 4 give? -0.1122 eV/atom

Look up the energy relative to the elements of the fourth one. -0.1122 eV/atom